First-principles (PBE-GGA) data for an optimized crystal structure of Tb3Se2N, as listed in Alexandria. Values from VASP.

For the energy above the most stable polymorph in this dataset, the calculation gives 127 meV per atom. The uncorrected formation energy is -1520 meV/atom. Its space-group type is Cmcm, No. 63. The calculation puts the density of states at the Fermi level at 5.98 states/eV/cell. The calculation puts the energy at -6.38 eV/atom. The density is 7.01 Mg/m³.

The structure in Quantum ESPRESSO input format:
```
&SYSTEM
  ibrav = 0, nat = 12, ntyp = 3
/
ATOMIC_SPECIES
Tb 158.93 Tb.upf
Se 78.96 Se.upf
N 14.01 N.upf
ATOMIC_POSITIONS crystal
Tb 0.993 0.866 0.574
Tb 0.493 0.426 0.134
Tb 0.993 0.574 0.866
Tb 0.493 0.134 0.426
Tb 0.493 0.878 0.878
Tb 0.993 0.122 0.122
Se 0.493 0.803 0.489
Se 0.993 0.511 0.197
Se 0.493 0.489 0.803
Se 0.993 0.197 0.511
N 0.993 0.842 0.842
N 0.493 0.158 0.158
CELL_PARAMETERS angstrom
-5.193 2.066 -0.170
-1.971 -5.404 -5.482
-0.935 -1.715 7.702
```